# PBE LaZrSc2Mn, relaxed
# Crystal system: tetragonal
# DFT formation energy, eV per atom: 0.127
data_LaZrSc2Mn
_space_group_name_H-M_alt 'P 4/m m m'
_space_group_IT_number 123
_space_group_name_Hall '-P 4 2'
_cell_length_a 5.071
_cell_length_b 5.071
_cell_length_c 4.854
_cell_angle_alpha 90.00
_cell_angle_beta 90.00
_cell_angle_gamma 90.00
loop_
_atom_site_label
_atom_site_type_symbol
_atom_site_fract_x
_atom_site_fract_y
_atom_site_fract_z
_atom_site_occupancy
La1 La 0.000 0.000 0.000 1
Zr1 Zr 0.500 0.500 0.000 1
Sc1 Sc 0.000 0.500 0.500 1
Mn1 Mn 0.500 0.500 0.500 1

# PBE LaMnSe2, relaxed
# Raw formation energy, eV/f.u.: -4.9
# Crystal system: monoclinic
data_LaMnSe2
_space_group_name_H-M_alt 'C 1 m 1'
_space_group_IT_number 8
_space_group_name_Hall 'C -2y'
_cell_length_a 13.582
_cell_length_b 4.080
_cell_length_c 7.147
_cell_angle_alpha 90.00
_cell_angle_beta 102.34
_cell_angle_gamma 90.00
loop_
_atom_site_label
_atom_site_type_symbol
_atom_site_fract_x
_atom_site_fract_y
_atom_site_fract_z
_atom_site_occupancy
La1 La 0.000 0.000 0.000 1
La2 La 0.207 0.000 0.599 1
Mn1 Mn 0.260 0.500 0.163 1
Mn2 Mn 0.416 0.000 0.382 1
Se1 Se 0.096 0.500 0.311 1
Se2 Se 0.112 0.500 0.821 1
Se3 Se 0.337 0.000 0.019 1
Se4 Se 0.369 0.500 0.554 1

# PBE LaMnSe2, relaxed
# Raw formation energy, eV/f.u.: -3.9
# Crystal system: tetragonal
data_LaMnSe2
_space_group_name_H-M_alt 'P 4/m m m'
_space_group_IT_number 123
_space_group_name_Hall '-P 4 2'
_cell_length_a 4.966
_cell_length_b 4.966
_cell_length_c 3.683
_cell_angle_alpha 90.00
_cell_angle_beta 90.00
_cell_angle_gamma 90.00
loop_
_atom_site_label
_atom_site_type_symbol
_atom_site_fract_x
_atom_site_fract_y
_atom_site_fract_z
_atom_site_occupancy
La1 La 0.000 0.000 0.000 1
Mn1 Mn 0.500 0.500 0.000 1
Se1 Se 0.000 0.500 0.500 1

# PBE LaMnSe2, relaxed
# Raw formation energy, eV/f.u.: -3.8
# Crystal system: trigonal
data_LaMnSe2
_space_group_name_H-M_alt 'R -3 m'
_space_group_IT_number 166
_space_group_name_Hall '-R 3 2"'
_cell_length_a 4.5407
_cell_length_b 4.5407
_cell_length_c 23.1988
_cell_angle_alpha 90.00
_cell_angle_beta 90.00
_cell_angle_gamma 120.00
loop_
_atom_site_label
_atom_site_type_symbol
_atom_site_fract_x
_atom_site_fract_y
_atom_site_fract_z
_atom_site_occupancy
La1 La 0.0000 0.0000 0.0000 1
Mn1 Mn 0.0000 0.0000 0.5000 1
Se1 Se 0.0000 0.0000 0.3976 1

# PBE LaMnSe2, relaxed
# Raw formation energy, eV/f.u.: -4.3
# Crystal system: tetragonal
data_LaMnSe2
_space_group_name_H-M_alt 'P 4 m m'
_space_group_IT_number 99
_space_group_name_Hall 'P 4 -2'
_cell_length_a 4.160
_cell_length_b 4.160
_cell_length_c 5.928
_cell_angle_alpha 90.00
_cell_angle_beta 90.00
_cell_angle_gamma 90.00
loop_
_atom_site_label
_atom_site_type_symbol
_atom_site_fract_x
_atom_site_fract_y
_atom_site_fract_z
_atom_site_occupancy
La1 La 0.000 0.000 0.000 1
Mn1 Mn 0.500 0.500 0.548 1
Se1 Se 0.000 0.000 0.504 1
Se2 Se 0.500 0.500 0.004 1

# PBE LaMnSe2, relaxed
# Raw formation energy, eV/f.u.: -4.2
# Crystal system: monoclinic
data_LaMnSe2
_space_group_name_H-M_alt 'P 1 2/m 1'
_space_group_IT_number 10
_space_group_name_Hall '-P 2y'
_cell_length_a 3.867
_cell_length_b 3.721
_cell_length_c 6.944
_cell_angle_alpha 90.00
_cell_angle_beta 90.21
_cell_angle_gamma 90.00
loop_
_atom_site_label
_atom_site_type_symbol
_atom_site_fract_x
_atom_site_fract_y
_atom_site_fract_z
_atom_site_occupancy
La1 La 0.000 0.000 0.000 1
Mn1 Mn 0.500 0.000 0.500 1
Se1 Se 0.499 0.500 0.759 1

# PBE LaMnSe2, relaxed
# Raw formation energy, eV/f.u.: -2.5
# Crystal system: tetragonal
data_LaMnSe2
_space_group_name_H-M_alt 'I -4 2 d'
_space_group_IT_number 122
_space_group_name_Hall 'I -4 2bw'
_cell_length_a 5.747
_cell_length_b 5.747
_cell_length_c 12.821
_cell_angle_alpha 90.00
_cell_angle_beta 90.00
_cell_angle_gamma 90.00
loop_
_atom_site_label
_atom_site_type_symbol
_atom_site_fract_x
_atom_site_fract_y
_atom_site_fract_z
_atom_site_occupancy
La1 La 0.000 0.000 0.000 1
Mn1 Mn 0.000 0.000 0.500 1
Se1 Se 0.157 0.250 0.625 1

# PBE LaMnSe, relaxed
# Raw formation energy, eV/f.u.: -0.2
# Crystal system: cubic
data_LaMnSe
_space_group_name_H-M_alt 'F -4 3 m'
_space_group_IT_number 216
_space_group_name_Hall 'F -4 2 3'
_cell_length_a 7.098
_cell_length_b 7.098
_cell_length_c 7.098
_cell_angle_alpha 90.00
_cell_angle_beta 90.00
_cell_angle_gamma 90.00
loop_
_atom_site_label
_atom_site_type_symbol
_atom_site_fract_x
_atom_site_fract_y
_atom_site_fract_z
_atom_site_occupancy
La1 La 0.000 0.000 0.000 1
Mn1 Mn 0.250 0.250 0.750 1
Se1 Se 0.250 0.250 0.250 1

# PBE LaMnSe2, relaxed
# Raw formation energy, eV/f.u.: -3.5
# Crystal system: trigonal
data_LaMnSe2
_space_group_name_H-M_alt 'R -3 m'
_space_group_IT_number 166
_space_group_name_Hall '-R 3 2"'
_cell_length_a 4.0373
_cell_length_b 4.0373
_cell_length_c 17.3750
_cell_angle_alpha 90.00
_cell_angle_beta 90.00
_cell_angle_gamma 120.00
loop_
_atom_site_label
_atom_site_type_symbol
_atom_site_fract_x
_atom_site_fract_y
_atom_site_fract_z
_atom_site_occupancy
La1 La 0.0000 0.0000 0.0000 1
Mn1 Mn 0.0000 0.0000 0.5000 1
Se1 Se 0.0000 0.0000 0.2270 1

# PBE LaMnSe, relaxed
# Raw formation energy, eV/f.u.: -1.1
# Crystal system: cubic
data_LaMnSe
_space_group_name_H-M_alt 'F -4 3 m'
_space_group_IT_number 216
_space_group_name_Hall 'F -4 2 3'
_cell_length_a 6.344
_cell_length_b 6.344
_cell_length_c 6.344
_cell_angle_alpha 90.00
_cell_angle_beta 90.00
_cell_angle_gamma 90.00
loop_
_atom_site_label
_atom_site_type_symbol
_atom_site_fract_x
_atom_site_fract_y
_atom_site_fract_z
_atom_site_occupancy
La1 La 0.000 0.000 0.000 1
Mn1 Mn 0.250 0.250 0.250 1
Se1 Se 0.000 0.000 0.500 1

# PBE La3Mn5Se12, relaxed
# Raw formation energy, eV/f.u.: -19.8
# Crystal system: cubic
data_La3Mn5Se12
_space_group_name_H-M_alt 'I a -3 d'
_space_group_IT_number 230
_space_group_name_Hall '-I 4bd 2c 3'
_cell_length_a 16.008
_cell_length_b 16.008
_cell_length_c 16.008
_cell_angle_alpha 90.00
_cell_angle_beta 90.00
_cell_angle_gamma 90.00
loop_
_atom_site_label
_atom_site_type_symbol
_atom_site_fract_x
_atom_site_fract_y
_atom_site_fract_z
_atom_site_occupancy
La1 La 0.000 0.250 0.125 1
Mn1 Mn 0.000 0.000 0.000 1
Mn2 Mn 0.000 0.250 0.375 1
Se1 Se 0.029 0.056 0.647 1

# PBE La2Mn2Se5, relaxed
# Raw formation energy, eV/f.u.: -11.2
# Crystal system: orthorhombic
data_La2Mn2Se5
_space_group_name_H-M_alt 'I m a 2'
_space_group_IT_number 46
_space_group_name_Hall 'I 2 -2a'
_cell_length_a 18.805
_cell_length_b 7.480
_cell_length_c 6.872
_cell_angle_alpha 90.00
_cell_angle_beta 90.00
_cell_angle_gamma 90.00
loop_
_atom_site_label
_atom_site_type_symbol
_atom_site_fract_x
_atom_site_fract_y
_atom_site_fract_z
_atom_site_occupancy
La1 La 0.102 0.049 0.000 1
Mn1 Mn 0.000 0.000 0.527 1
Mn2 Mn 0.250 0.591 0.953 1
Se1 Se 0.021 0.734 0.763 1
Se2 Se 0.144 0.079 0.575 1
Se3 Se 0.250 0.590 0.581 1

# PBE LaMnSe, relaxed
# Raw formation energy, eV/f.u.: -1.5
# Crystal system: orthorhombic
data_LaMnSe
_space_group_name_H-M_alt 'F m m 2'
_space_group_IT_number 42
_space_group_name_Hall 'F 2 -2'
_cell_length_a 5.129
_cell_length_b 5.138
_cell_length_c 10.633
_cell_angle_alpha 90.00
_cell_angle_beta 90.00
_cell_angle_gamma 90.00
loop_
_atom_site_label
_atom_site_type_symbol
_atom_site_fract_x
_atom_site_fract_y
_atom_site_fract_z
_atom_site_occupancy
La1 La 0.000 0.000 0.000 1
Mn1 Mn 0.000 0.000 0.689 1
Se1 Se 0.000 0.000 0.299 1

# PBE LaMnSe2, relaxed
# Raw formation energy, eV/f.u.: -1.4
# Crystal system: cubic
data_LaMnSe2
_space_group_name_H-M_alt 'F -4 3 m'
_space_group_IT_number 216
_space_group_name_Hall 'F -4 2 3'
_cell_length_a 7.136
_cell_length_b 7.136
_cell_length_c 7.136
_cell_angle_alpha 90.00
_cell_angle_beta 90.00
_cell_angle_gamma 90.00
loop_
_atom_site_label
_atom_site_type_symbol
_atom_site_fract_x
_atom_site_fract_y
_atom_site_fract_z
_atom_site_occupancy
La1 La 0.000 0.000 0.000 1
Mn1 Mn 0.250 0.250 0.750 1
Se1 Se 0.000 0.000 0.500 1
Se2 Se 0.250 0.250 0.250 1

# PBE LaMnSe2, relaxed
# Raw formation energy, eV/f.u.: -4.7
# Crystal system: monoclinic
data_LaMnSe2
_space_group_name_H-M_alt 'P 1 m 1'
_space_group_IT_number 6
_space_group_name_Hall 'P -2y'
_cell_length_a 4.330
_cell_length_b 8.516
_cell_length_c 5.961
_cell_angle_alpha 90.00
_cell_angle_beta 103.61
_cell_angle_gamma 90.00
loop_
_atom_site_label
_atom_site_type_symbol
_atom_site_fract_x
_atom_site_fract_y
_atom_site_fract_z
_atom_site_occupancy
La1 La 0.000 0.247 0.000 1
Mn1 Mn 0.478 0.500 0.675 1
Mn2 Mn 0.882 0.500 0.479 1
Se1 Se 0.194 0.259 0.540 1
Se2 Se 0.527 0.500 0.101 1
Se3 Se 0.529 0.000 0.056 1

# PBE La3MnSe, relaxed
# Raw formation energy, eV/f.u.: -1.8
# Crystal system: cubic
data_La3MnSe
_space_group_name_H-M_alt 'P m -3 m'
_space_group_IT_number 221
_space_group_name_Hall '-P 4 2 3'
_cell_length_a 5.191
_cell_length_b 5.191
_cell_length_c 5.191
_cell_angle_alpha 90.00
_cell_angle_beta 90.00
_cell_angle_gamma 90.00
loop_
_atom_site_label
_atom_site_type_symbol
_atom_site_fract_x
_atom_site_fract_y
_atom_site_fract_z
_atom_site_occupancy
La1 La 0.000 0.000 0.500 1
Mn1 Mn 0.000 0.000 0.000 1
Se1 Se 0.500 0.500 0.500 1

# PBE LaMn4Se, relaxed
# Raw formation energy, eV/f.u.: 1.8
# Crystal system: cubic
data_LaMn4Se
_space_group_name_H-M_alt 'F -4 3 m'
_space_group_IT_number 216
_space_group_name_Hall 'F -4 2 3'
_cell_length_a 7.733
_cell_length_b 7.733
_cell_length_c 7.733
_cell_angle_alpha 90.00
_cell_angle_beta 90.00
_cell_angle_gamma 90.00
loop_
_atom_site_label
_atom_site_type_symbol
_atom_site_fract_x
_atom_site_fract_y
_atom_site_fract_z
_atom_site_occupancy
La1 La 0.000 0.000 0.000 1
Mn1 Mn 0.127 0.127 0.373 1
Se1 Se 0.250 0.250 0.750 1

# PBE LaMnSe2, relaxed
# Raw formation energy, eV/f.u.: -4.6
# Crystal system: monoclinic
data_LaMnSe2
_space_group_name_H-M_alt 'C 1 m 1'
_space_group_IT_number 8
_space_group_name_Hall 'C -2y'
_cell_length_a 14.237
_cell_length_b 4.001
_cell_length_c 9.948
_cell_angle_alpha 90.00
_cell_angle_beta 130.19
_cell_angle_gamma 90.00
loop_
_atom_site_label
_atom_site_type_symbol
_atom_site_fract_x
_atom_site_fract_y
_atom_site_fract_z
_atom_site_occupancy
La1 La 0.000 0.000 0.000 1
La2 La 0.147 0.500 0.477 1
Mn1 Mn 0.253 0.500 0.236 1
Mn2 Mn 0.267 0.000 0.024 1
Se1 Se 0.104 0.500 0.901 1
Se2 Se 0.254 0.000 0.385 1
Se3 Se 0.284 0.000 0.783 1
Se4 Se 0.437 0.500 0.247 1

# PBE LaMnSe2, relaxed
# Raw formation energy, eV/f.u.: -3.3
# Crystal system: trigonal
data_LaMnSe2
_space_group_name_H-M_alt 'R 3 m'
_space_group_IT_number 160
_space_group_name_Hall 'R 3 -2"'
_cell_length_a 3.9316
_cell_length_b 3.9316
_cell_length_c 18.7178
_cell_angle_alpha 90.00
_cell_angle_beta 90.00
_cell_angle_gamma 120.00
loop_
_atom_site_label
_atom_site_type_symbol
_atom_site_fract_x
_atom_site_fract_y
_atom_site_fract_z
_atom_site_occupancy
La1 La 0.0000 0.0000 0.0000 1
Mn1 Mn 0.0000 0.0000 0.8136 1
Se1 Se 0.0000 0.0000 0.2227 1
Se2 Se 0.0000 0.0000 0.4353 1

# PBE LaMnSe3, relaxed
# Raw formation energy, eV/f.u.: -0.2
# Crystal system: cubic
data_LaMnSe3
_space_group_name_H-M_alt 'P m -3 m'
_space_group_IT_number 221
_space_group_name_Hall '-P 4 2 3'
_cell_length_a 5.709
_cell_length_b 5.709
_cell_length_c 5.709
_cell_angle_alpha 90.00
_cell_angle_beta 90.00
_cell_angle_gamma 90.00
loop_
_atom_site_label
_atom_site_type_symbol
_atom_site_fract_x
_atom_site_fract_y
_atom_site_fract_z
_atom_site_occupancy
La1 La 0.000 0.000 0.000 1
Mn1 Mn 0.500 0.500 0.500 1
Se1 Se 0.000 0.000 0.500 1

| no. | total DFT energy (no corrections) (eV per atom) |
| --- | --- |
| 1 | -6.934 |
| 2 | -6.492 |
| 3 | -6.238 |
| 4 | -6.217 |
| 5 | -6.352 |
| 6 | -6.319 |
| 7 | -5.892 |
| 8 | -5.933 |
| 9 | -6.129 |
| 10 | -6.217 |
| 11 | -6.111 |
| 12 | -6.313 |
| 13 | -6.368 |
| 14 | -5.607 |
| 15 | -6.431 |
| 16 | -5.841 |
| 17 | -7.220 |
| 18 | -6.428 |
| 19 | -6.100 |
| 20 | -4.948 |